Entry 1:
Computed, not measured: Pr3Nd2Ag2 after structural relaxation at the PBE level of DFT.

Lattice parameters (Å, degrees): 3.741 3.669 16.033 90.00 96.70 90.00
Element x y z (fractional)
Pr 0.417 0.500 0.834
Pr 0.000 0.000 0.000
Pr 0.583 0.500 0.166
Ag 0.144 0.000 0.287
Ag 0.856 0.000 0.713
Nd 0.297 0.500 0.595
Nd 0.703 0.500 0.405

Values from the calculation:
As for the space group: Cmmm. The value obtained for the formation energy from the elements is -0.059 eV/atom.



Entry 2:
Computed, not measured: Gd2ErS after structural relaxation at the PBE level of DFT.

Lattice parameters (Å, degrees): 3.752 3.752 9.580 78.71 78.71 60.00
Element x y z (fractional)
Gd 0.771 0.771 0.686
Gd 0.229 0.229 0.314
S 0.500 0.500 0.500
Er 0.000 0.000 0.000

Values from the calculation:
As for the space group: R-3m. The energy relative to the elements, uncorrected is -920 meV/atom.



Entry 3:
Computed, not measured: Tl16CdIn12 after structural relaxation at the PBE level of DFT.

Lattice parameters (Å, degrees): 10.361 10.361 10.336 109.31 109.31 109.65
Element x y z (fractional)
Tl 0.001 0.397 0.679
Tl 0.004 0.004 0.642
Tl 0.604 0.289 0.604
Tl 0.400 0.676 0.005
Tl 0.676 0.400 0.005
Tl 0.322 0.322 0.713
Tl 0.711 0.320 0.316
Tl 0.397 0.001 0.679
Tl 0.003 0.680 0.399
Tl 0.320 0.711 0.316
Tl 0.998 0.998 0.000
Tl 0.364 0.364 0.353
Tl 0.997 0.638 0.000
Tl 0.638 0.997 0.000
Tl 0.289 0.604 0.604
Tl 0.680 0.003 0.399
In 0.364 0.186 0.997
In 0.186 0.364 0.997
In 0.804 0.804 0.186
In 0.820 0.633 0.628
In 0.809 0.181 0.813
In 0.640 0.640 0.824
In 0.999 0.366 0.187
In 0.181 0.809 0.813
In 0.366 0.999 0.187
In 0.183 0.998 0.364
In 0.633 0.820 0.628
In 0.998 0.183 0.364
Cd 0.613 0.613 0.298

Values from the calculation:
As for the space group: Cm. The value obtained for the formation energy from the elements is 0.013 eV/atom.



Entry 4:
Computed, not measured: Cd2AsPt after structural relaxation at the PBE level of DFT.

Lattice parameters (Å, degrees): 8.288 8.288 8.288 24.61 24.61 24.61
Element x y z (fractional)
Cd 0.002 0.002 0.002
Cd 0.241 0.241 0.241
As 0.767 0.767 0.767
Pt 0.490 0.490 0.490

Values from the calculation:
As for the space group: R3m. The value obtained for the formation energy from the elements is -0.100 eV/atom.